[1]
Computed, not measured: crystalline HfSnPb at its relaxed geometry at the PBE level of DFT.

Output
The value obtained for the total moment is 0.00 μB/atom. For the calculated total energy, the calculation gives -64.470 eV/cell.

a = 7.109 Å, b = 7.109 Å, c = 7.109 Å
α = 90.00°, β = 90.00°, γ = 90.00°
Space group F-43m (No. 216)
Unique sites:
Hf 0.000 0.000 0.000 [4 per cell]
Sn 0.250 0.250 0.250 [4 per cell]
Pb 0.000 0.000 0.500 [4 per cell]

***

[2]
Computed, not measured: crystalline TbHo2Ga3CuGe2 at its relaxed geometry at the PBE level of DFT.

Output
The value obtained for the total moment is 0.00 μB/atom. For the calculated total energy, the calculation gives -83.352 eV/cell.

a = 4.147 Å, b = 12.187 Å, c = 7.018 Å
α = 90.00°, β = 90.00°, γ = 90.00°
Space group Amm2 (No. 38)
Unique sites:
Tb 0.000 0.000 0.000 [2 per cell]
Ho 0.000 0.200 0.400 [4 per cell]
Ga 0.500 0.000 0.364 [2 per cell]
Ga 0.500 0.118 0.716 [4 per cell]
Cu 0.000 0.000 0.597 [2 per cell]
Ge 0.500 0.168 0.100 [4 per cell]

***

[3]
Computed, not measured: crystalline RbBeRe at its relaxed geometry at the PBE level of DFT.

Output
The energy above the lowest structure with this stoichiometry comes out at 0.317 eV/f.u. The value obtained for the total moment is 0.67 μB/atom.

a = 6.553 Å, b = 6.553 Å, c = 6.553 Å
α = 90.00°, β = 90.00°, γ = 90.00°
Space group F-43m (No. 216)
Unique sites:
Rb 0.000 0.000 0.000 [4 per cell]
Be 0.000 0.000 0.500 [4 per cell]
Re 0.250 0.250 0.750 [4 per cell]

***

[4]
Computed, not measured: crystalline AgPbSeF at its relaxed geometry at the PBE level of DFT.

Output
The energy above the lowest structure with this stoichiometry comes out at 0.387 eV/f.u.

a = 6.836 Å, b = 7.101 Å, c = 7.177 Å
α = 90.00°, β = 90.00°, γ = 90.00°
Space group P2_12_12_1 (No. 19)
Unique sites:
Ag 0.038 0.144 0.317 [4 per cell]
Pb 0.071 0.641 0.656 [4 per cell]
Se 0.176 0.912 0.080 [4 per cell]
F 0.154 0.400 0.911 [4 per cell]

***

[5]
Computed, not measured: crystalline CoRe at its relaxed geometry at the PBE level of DFT.

Output
The formation energy is 24 meV/atom. The value obtained for the total moment is 0.02 μB/atom.

a = 4.6768 Å, b = 4.6768 Å, c = 7.8933 Å
α = 90.00°, β = 90.00°, γ = 120.00°
Space group P6_3/mmc (No. 194)
Unique sites:
Co 0.1723 0.3446 0.2500 [6 per cell]
Re 0.0000 0.0000 0.0000 [2 per cell]
Re 0.3333 0.6667 0.5803 [4 per cell]

***

[6]
Computed, not measured: crystalline In3IrCl at its relaxed geometry at the PBE level of DFT.

Output
The energy above the lowest structure with this stoichiometry comes out at 0.000 eV/f.u. The value obtained for the total moment is 0.00 μB/atom.

a = 10.387 Å, b = 10.411 Å, c = 5.216 Å
α = 90.00°, β = 90.00°, γ = 90.00°
Space group Cmmm (No. 65)
Unique sites:
In 0.000 0.000 0.000 [2 per cell]
In 0.000 0.232 0.500 [4 per cell]
In 0.000 0.500 0.000 [2 per cell]
In 0.250 0.250 0.000 [4 per cell]
Ir 0.000 0.252 0.000 [4 per cell]
Cl 0.203 0.000 0.500 [4 per cell]

***

[7]
Computed, not measured: crystalline SrHfTa at its relaxed geometry at the PBE level of DFT.

Output
The energy above the lowest structure with this stoichiometry comes out at 0.000 eV/f.u. The value obtained for the total moment is 0.74 μB/atom.

a = 7.104 Å, b = 7.104 Å, c = 7.104 Å
α = 90.00°, β = 90.00°, γ = 90.00°
Space group F-43m (No. 216)
Unique sites:
Sr 0.000 0.000 0.000 [4 per cell]
Hf 0.000 0.000 0.500 [4 per cell]
Ta 0.250 0.250 0.750 [4 per cell]

***

[8]
Computed, not measured: crystalline Tm2MgNi2 at its relaxed geometry at the PBE level of DFT.

Output
The value obtained for the total moment is 0.00 μB/atom. For the calculated total energy, the calculation gives -47.439 eV/cell.

a = 7.255 Å, b = 7.255 Å, c = 3.680 Å
α = 90.00°, β = 90.00°, γ = 90.00°
Space group P4/mbm (No. 127)
Unique sites:
Tm 0.171 0.329 0.000 [4 per cell]
Mg 0.000 0.000 0.500 [2 per cell]
Ni 0.123 0.623 0.500 [4 per cell]

***

[9]
Computed, not measured: crystalline MgCoGeB at its relaxed geometry at the PBE level of DFT.

Output
The energy above the lowest structure with this stoichiometry comes out at 0.000 eV/f.u. The value obtained for the total moment is 0.00 μB/atom.

a = 5.781 Å, b = 5.781 Å, c = 5.781 Å
α = 90.00°, β = 90.00°, γ = 90.00°
Space group F-43m (No. 216)
Unique sites:
Mg 0.000 0.000 0.000 [4 per cell]
Co 0.000 0.000 0.500 [4 per cell]
Ge 0.250 0.250 0.750 [4 per cell]
B 0.250 0.250 0.250 [4 per cell]